Density functional theory data (PBE) for crystalline PuThCo at its relaxed geometry.

Geometry as POSCAR:
```
PuThCo
1.0
0.0000 3.1501 3.1501
3.1501 0.0000 3.1501
3.1501 3.1501 0.0000
Pu Th Co
1 1 1
Direct
0.0000 0.0000 0.0000
0.2500 0.2500 0.2500
0.7500 0.7500 0.7500
```

## Properties
**Energy**: -0.6670 Ry/atom
**SG**: F-43m
**Energy relative to the elements**: 10.9 kcal/mol of atoms
**Energy relative to the lowest polymorph listed for this composition**: 0.00 eV per formula unit



Density functional theory data (PBE) for crystalline LaAlNi at its relaxed geometry.

Geometry as POSCAR:
```
LaAlNi
1.0
7.6348 0.0000 0.0000
0.0000 4.6493 0.0000
0.0000 0.0000 6.7531
La Al Ni
4 4 4
Direct
0.0358 0.2500 0.1716
0.4642 0.7500 0.6716
0.5358 0.2500 0.3284
0.9642 0.7500 0.8284
0.1759 0.2500 0.6111
0.3241 0.7500 0.1111
0.6759 0.2500 0.8889
0.8241 0.7500 0.3889
0.1502 0.7500 0.4207
0.3498 0.2500 0.9207
0.6502 0.7500 0.0793
0.8498 0.2500 0.5793
```

## Properties
**Energy**: -0.3861 Ry/atom
**SG**: Pnma